Here is a geometry-optimized CaV2P2O9 structure from Alexandria via LeMat-Bulk. Energies are from GGA+U.

```
56
Lattice="14.347 0.000 0.000 0.000 6.558 0.000 0.000 0.000 7.483" Properties=species:S:1:pos:R:3 pbc="T T T"
Ca 3.178 1.639 0.812
Ca 3.995 4.918 4.554
Ca 10.352 1.639 2.929
Ca 11.169 4.918 6.671
V 0.000 0.000 0.000
V 0.000 3.279 0.000
V 1.702 1.639 4.848
V 5.471 4.918 1.106
V 7.174 0.000 3.742
V 7.174 3.279 3.742
V 8.876 1.639 6.377
V 12.645 4.918 2.635
P 0.971 4.918 4.792
P 2.748 4.918 0.832
P 4.426 1.639 4.573
P 6.203 1.639 1.051
P 8.144 4.918 6.432
P 9.921 4.918 2.910
P 11.600 1.639 6.651
P 13.377 1.639 2.691
O 0.109 1.639 3.755
O 0.255 4.918 6.185
O 0.792 1.639 6.557
O 1.864 3.638 0.787
O 1.864 6.199 0.787
O 1.920 3.704 4.714
O 1.920 6.133 4.714
O 3.362 1.639 3.437
O 3.565 1.639 5.869
O 3.609 4.918 2.128
O 3.811 4.918 7.178
O 5.253 0.425 0.973
O 5.253 2.854 0.973
O 5.310 0.359 4.529
O 5.310 2.920 4.529
O 6.382 4.918 2.815
O 6.918 1.639 2.443
O 7.064 4.918 0.013
O 7.283 1.639 7.470
O 7.429 4.918 5.040
O 7.966 1.639 4.668
O 9.037 3.638 2.954
O 9.037 6.199 2.954
O 9.094 3.704 6.510
O 9.094 6.133 6.510
O 10.536 1.639 0.305
O 10.738 1.639 5.355
O 10.782 4.918 1.614
O 10.985 4.918 4.046
O 12.427 0.425 2.769
O 12.427 2.854 2.769
O 12.484 0.359 6.696
O 12.484 2.920 6.696
O 13.555 4.918 0.926
O 14.092 1.639 1.298
O 14.238 4.918 3.728
```

Properties
The raw total energy is -425.95 eV for the cell shown.